Material: NbPtAu
Method: DFT, PBE
State: relaxed

Energy relative to the lowest polymorph listed for this composition (meV/atom): 181
E_form (eV per atom): -0.18
Total moment (μB per atom): 0.00
Space-group type: No. 64

a b c (Å): 5.549 7.558 5.559
angles (deg): 111.56 90.00 90.00
Positions (direct):
Au (0.250, 0.000, 0.750)
Au (0.750, 0.000, 0.250)
Au (0.250, 0.000, 0.250)
Au (0.750, 0.000, 0.750)
Nb (0.501, 0.347, 0.173)
Nb (0.499, 0.653, 0.827)
Nb (0.001, 0.653, 0.327)
Nb (0.999, 0.347, 0.673)
Pt (0.999, 0.702, 0.851)
Pt (0.501, 0.702, 0.351)
Pt (0.001, 0.298, 0.149)
Pt (0.499, 0.298, 0.649)